HRh3N (SCAN, PBEsol geometry); density = 8.96 g cm⁻³; space-group type = Pm-3m, No. 221; calculated total energy = -22.11 eV per atom
1.0
-1.6396 -0.6001 -3.5039
1.6933 -3.5246 -0.1887
-3.1257 -1.5946 1.7357
H Rh N
1 3 1
direct
0.5000 0.5000 0.5000
0.0000 0.5000 0.0000
0.0000 0.0000 0.5000
0.5000 0.0000 0.0000
0.0000 0.0000 0.0000